Material: BeZnSbMo2
Method: DFT, PBE-GGA
State: optimized geometry

Results
DOS at the Fermi energy, states/eV/f.u.: 4.18
Formation energy from raw total energies, eV per atom: 0.58
Mass density, g/cm3: 8.115
DFT total energy, eV/atom: -5.579

Cell lengths 4.456, 4.456, 4.000 Å; angles 90.00, 90.00, 90.00 degrees
Fractional positions:
1 Be 0.000 0.000 0.000
2 Zn 0.000 0.000 0.500
3 Sb 0.500 0.500 0.500
4 Mo 0.000 0.500 0.000
5 Mo 0.500 0.000 0.000